Entry from Alexandria: HoPuTe2 after structural relaxation (PBE).

ρ (Mg/m³): 10.17
Space group: P4/mmm (123)
Energy relative to the lowest polymorph listed for this composition (eV per atom): 0.1479
Total energy (eV/atom): -7.3493

Cell: 3.776 3.776 7.608 Å, 90.00 90.00 90.00°
Fractional positions:
Ho 0.000 0.000 0.000
Pu 0.000 0.000 0.500
Te 0.500 0.500 0.244
Te 0.500 0.500 0.756



Entry from Alexandria: CuBi2Mo after structural relaxation (PBE).

Formation energy from the elements (eV per formula unit): 2.71
ρ (Mg/m³): 11.03
Space group: Fm-3m (225)
Energy relative to the lowest polymorph listed for this composition (eV per atom): 0.0000
Total energy (eV/atom): -4.9949

Cell: 4.972 4.972 4.972 Å, 60.00 60.00 60.00°
Fractional positions:
Cu 0.000 0.000 0.000
Bi 0.250 0.250 0.250
Bi 0.750 0.750 0.750
Mo 0.500 0.500 0.500



Entry from Alexandria: YBeOs2 after structural relaxation (PBE).

Formation energy from the elements (eV per formula unit): 1.34
ρ (Mg/m³): 13.07
Space group: Cmmm (65)
Total energy (eV/atom): -7.8284

Cell: 2.847 2.847 8.087 Å, 90.00 90.00 111.96°
Fractional positions:
Y 0.000 0.000 0.000
Be 0.000 0.000 0.500
Os 0.500 0.500 0.294
Os 0.500 0.500 0.706



Entry from Alexandria: Cu2BrCl after structural relaxation (PBE).

ρ (Mg/m³): 4.87
Space group: P4mm (99)
Energy relative to the lowest polymorph listed for this composition (eV per atom): 0.1363
Total energy (eV/atom): -3.0965

Cell: 3.469 3.469 6.867 Å, 90.00 90.00 90.00°
Fractional positions:
Cu 0.000 0.000 0.000
Cu 0.500 0.500 0.167
Br 0.000 0.000 0.350
Cl 0.500 0.500 0.836



Entry from Alexandria: La3Pm5Ho2 after structural relaxation (PBE).

Formation energy from the elements (eV per formula unit): 1.72
ρ (Mg/m³): 7.01
Space group: C2/c (15)
Total energy (eV/atom): -4.5974

Cell: 9.341 9.341 9.996 Å, 108.78 108.78 107.57°
Fractional positions:
La 0.022 0.275 0.055
La 0.226 0.774 0.750
La 0.275 0.022 0.555
La 0.725 0.978 0.445
La 0.774 0.226 0.250
La 0.978 0.725 0.945
Pm 0.018 0.982 0.750
Pm 0.145 0.387 0.773
Pm 0.270 0.730 0.250
Pm 0.387 0.145 0.273
Pm 0.474 0.526 0.250
Pm 0.526 0.474 0.750
Pm 0.613 0.855 0.727
Pm 0.730 0.270 0.750
Pm 0.855 0.613 0.227
Pm 0.982 0.018 0.250
Ho 0.222 0.467 0.449
Ho 0.467 0.222 0.949
Ho 0.533 0.778 0.051
Ho 0.778 0.533 0.551



Entry from Alexandria: HfTl2SiMo after structural relaxation (PBE).

ρ (Mg/m³): 9.07
Space group: P4/mmm (123)
Total energy (eV/atom): -5.1420

Cell: 5.303 5.303 4.630 Å, 90.00 90.00 90.00°
Fractional positions:
Hf 0.000 0.000 0.000
Tl 0.000 0.500 0.500
Tl 0.500 0.000 0.500
Si 0.500 0.500 0.000
Mo 0.500 0.500 0.500



Entry from Alexandria: NiSe2Br after structural relaxation (PBE).

ρ (Mg/m³): 3.91
Space group: C2/c (15)
Energy relative to the lowest polymorph listed for this composition (eV per atom): 0.1840
Total energy (eV/atom): -3.6598

Cell: 7.165 7.165 5.563 Å, 100.55 100.55 111.11°
Fractional positions:
Ni 0.001 0.999 0.750
Ni 0.999 0.001 0.250
Se 0.050 0.273 0.075
Se 0.273 0.050 0.575
Se 0.727 0.950 0.425
Se 0.950 0.727 0.925
Br 0.409 0.591 0.250
Br 0.591 0.409 0.750



Entry from Alexandria: ScMoAu after structural relaxation (PBE).

Formation energy from the elements (eV per formula unit): 0.42
ρ (Mg/m³): 10.20
Space group: P3m1 (156)
Energy relative to the lowest polymorph listed for this composition (eV per atom): 0.2101
Total energy (eV/atom): -6.6734

Cell: 3.000 3.000 7.058 Å, 90.00 90.00 120.00°
Fractional positions:
Sc 0.000 0.000 0.000
Mo 0.333 0.667 0.672
Au 0.667 0.333 0.338



Entry from Alexandria: DyZr2Mn after structural relaxation (PBE).

Formation energy from the elements (eV per formula unit): 0.37
ρ (Mg/m³): 7.65
Space group: P4/mmm (123)
Energy relative to the lowest polymorph listed for this composition (eV per atom): 0.0000
Total energy (eV/atom): -7.6252

Cell: 3.236 3.236 8.289 Å, 90.00 90.00 90.00°
Fractional positions:
Dy 0.000 0.000 0.000
Zr 0.500 0.500 0.317
Zr 0.500 0.500 0.683
Mn 0.000 0.000 0.500



Entry from Alexandria: LaAl4Pd2 after structural relaxation (PBE).

Formation energy from the elements (eV per formula unit): -5.42
ρ (Mg/m³): 5.74
Space group: Pnma (62)
Energy relative to the lowest polymorph listed for this composition (eV per atom): 0.0000
Total energy (eV/atom): -5.1000

Cell: 17.457 4.281 7.122 Å, 90.00 90.00 90.00°
Fractional positions:
La 0.118 0.250 0.014
La 0.382 0.750 0.514
La 0.618 0.250 0.486
La 0.882 0.750 0.986
Al 0.041 0.750 0.722
Al 0.094 0.250 0.500
Al 0.189 0.750 0.346
Al 0.201 0.750 0.730
Al 0.299 0.250 0.230
Al 0.311 0.250 0.846
Al 0.406 0.750 0.000
Al 0.459 0.250 0.222
Al 0.541 0.750 0.778
Al 0.594 0.250 0.000
Al 0.689 0.750 0.154
Al 0.701 0.750 0.770
Al 0.799 0.250 0.270
Al 0.811 0.250 0.654
Al 0.906 0.750 0.500
Al 0.959 0.250 0.278
Pd 0.037 0.750 0.331
Pd 0.234 0.250 0.544
Pd 0.266 0.750 0.044
Pd 0.463 0.250 0.831
Pd 0.537 0.750 0.169
Pd 0.734 0.250 0.956
Pd 0.766 0.750 0.456
Pd 0.963 0.250 0.669



Entry from Alexandria: Sr3CaB2O6 after structural relaxation (PBE).

ρ (Mg/m³): 3.62
Space group: P-3m1 (164)
Total energy (eV/atom): -6.7134

Cell: 5.392 5.392 7.666 Å, 90.00 90.00 120.00°
Fractional positions:
Sr 0.000 0.000 0.000
Sr 0.333 0.667 0.723
Sr 0.667 0.333 0.277
Ca 0.000 0.000 0.500
B 0.333 0.667 0.288
B 0.667 0.333 0.712
O 0.184 0.368 0.296
O 0.184 0.816 0.296
O 0.368 0.184 0.704
O 0.632 0.816 0.296
O 0.816 0.184 0.704
O 0.816 0.632 0.704



Entry from Alexandria: LiErTlPt after structural relaxation (PBE).

Formation energy from the elements (eV per formula unit): -2.52
ρ (Mg/m³): 12.14
Space group: F-43m (216)
Total energy (eV/atom): -4.3505

Cell: 4.805 4.805 4.805 Å, 60.00 60.00 60.00°
Fractional positions:
Li 0.000 0.000 0.000
Er 0.750 0.750 0.750
Tl 0.250 0.250 0.250
Pt 0.500 0.500 0.500



- ρ of number 11 (Sr3CaB2O6)?
  3.62 Mg/m³